Si2HgI | PBE | optimized geometry

```
Si2HgI
1.0
-0.9386 -4.5681 1.9572
-1.3622 -1.1257 -4.8461
9.7596 -2.0313 -1.9324
Si I Hg
4 2 2
direct
0.7707 0.2276 0.6069 Si
0.4170 0.8701 0.6077 Si
0.4877 0.4887 0.4862 Si
0.1374 0.1366 0.4909 Si
0.5696 0.4942 0.9716 I
0.0298 0.9996 0.2467 I
0.1154 0.5569 0.7476 Hg
0.5492 0.5143 0.2454 Hg
```

Polymorph energy (0 for the lowest one) (meV per atom): 61
Magnetic moment (μB/f.u.): 0.0
Energy relative to the elements, uncorrected (meV/atom): 70



SnPCO2 | PBE | optimized geometry

```
SnPCO2
1.0
3.7609 0.0000 0.0000
0.0000 3.7609 0.0000
0.0000 0.0000 3.9702
Sn O C P
1 2 1 1
direct
0.5000 0.5000 0.5000 Sn
0.0000 0.5000 0.0000 O
0.5000 0.0000 0.0000 O
0.0000 0.0000 0.0000 C
0.0000 0.0000 0.5000 P
```

Polymorph energy (0 for the lowest one) (meV per atom): 0
Magnetic moment (μB/f.u.): 0.0
Density of states at the Fermi level (states/eV/cell): 2.12
Energy relative to the elements, uncorrected (meV/atom): 692



Na2CaV | PBE | optimized geometry

```
Na2CaV
1.0
0.0000 3.9029 3.9029
3.9029 0.0000 3.9029
3.9029 3.9029 0.0000
Na Ca V
2 1 1
direct
0.7500 0.7500 0.7500 Na
0.2500 0.2500 0.2500 Na
0.0000 0.0000 0.0000 Ca
0.5000 0.5000 0.5000 V
```

Polymorph energy (0 for the lowest one) (meV per atom): 0
Magnetic moment (μB/f.u.): 4.2
Density of states at the Fermi level (states/eV/cell): 5.96
ΔH_f (0 K) (eV/atom): 0.707



CeThHgPd | PBE | optimized geometry

```
CeThHgPd
1.0
-3.2938 -3.7977 -1.5242
-1.5532 -3.6627 3.4303
-4.9557 -0.0340 1.7420
Hg Th Ce Pd
1 1 1 1
direct
0.0000 0.0000 0.0000 Hg
0.2500 0.2500 0.2500 Th
0.7500 0.7500 0.7500 Ce
0.5000 0.5000 0.5000 Pd
```

Magnetic moment (μB/f.u.): 1.2
Density of states at the Fermi level (states/eV/cell): 8.46
ΔH_f (0 K) (eV/atom): -0.370



Na3PW | PBE | optimized geometry

```
Na3PW
1.0
-2.3396 -1.1461 -4.7225
4.8331 -1.0950 -2.1287
-0.5064 -5.1552 1.5020
Na P W
3 1 1
direct
0.0000 0.5000 0.0000 Na
0.5000 0.0000 0.0000 Na
0.0000 0.0000 0.5000 Na
0.0000 0.0000 0.0000 P
0.5000 0.5000 0.5000 W
```

Polymorph energy (0 for the lowest one) (meV per atom): 0
Magnetic moment (μB/f.u.): 5.9
Density of states at the Fermi level (states/eV/cell): 4.95
ΔH_f (0 K) (eV/atom): 1.235



RbGaAsH | PBE | optimized geometry

```
RbGaAsH
1.0
4.1389 0.0000 0.0000
-2.0694 3.5854 0.0045
0.0000 -0.0090 6.3419
As H Rb Ga
1 1 1 1
direct
0.9052 0.8105 0.7822 As
0.2386 0.4772 0.1730 H
0.5719 0.1439 0.3713 Rb
0.2386 0.4771 0.9127 Ga
```

Magnetic moment (μB/f.u.): 0.0
Electronic total energy (eV/cell): -13.5